Record 1
# meta-GGA SCAN ZrTl2Pd, single point on PBEsol structure
# - Mass density: 12568 kg/m³
# - Formation energy: -82 meV/atom
data_ZrTl2Pd
_chemical_formula_sum 'Zr4 Tl8 Pd4'
_cell_length_a 6.843
_cell_length_b 6.843
_cell_length_c 6.843
_cell_angle_alpha 90.00
_cell_angle_beta 90.00
_cell_angle_gamma 90.00
_symmetry_space_group_name_H-M 'F m -3 m'
_symmetry_Int_Tables_number 225
_symmetry_space_group_name_Hall '-F 4 2 3'
loop_
_atom_site_label
_atom_site_fract_x
_atom_site_fract_y
_atom_site_fract_z
_atom_site_occupancy
Zr1 0.000 0.000 0.000 1
Tl1 0.250 0.250 0.250 1
Pd1 0.000 0.000 0.500 1

***

Record 2
# meta-GGA SCAN TmPd, single point on PBEsol structure
# - Mass density: 11570 kg/m³
# - Formation energy: -1041 meV/atom
data_TmPd
_chemical_formula_sum 'Tm1 Pd1'
_cell_length_a 3.406
_cell_length_b 3.406
_cell_length_c 3.406
_cell_angle_alpha 90.00
_cell_angle_beta 90.00
_cell_angle_gamma 90.00
_symmetry_space_group_name_H-M 'P m -3 m'
_symmetry_Int_Tables_number 221
_symmetry_space_group_name_Hall '-P 4 2 3'
loop_
_atom_site_label
_atom_site_fract_x
_atom_site_fract_y
_atom_site_fract_z
_atom_site_occupancy
Tm1 0.000 0.000 0.000 1
Pd1 0.500 0.500 0.500 1

***

Record 3
# meta-GGA SCAN Tm3Pd4, single point on PBEsol structure
# - Mass density: 11618 kg/m³
# - Formation energy: -1062 meV/atom
data_Tm3Pd4
_chemical_formula_sum 'Tm18 Pd24'
_cell_length_a 12.8270
_cell_length_b 12.8270
_cell_length_c 5.6122
_cell_angle_alpha 90.00
_cell_angle_beta 90.00
_cell_angle_gamma 120.00
_symmetry_space_group_name_H-M 'R -3'
_symmetry_Int_Tables_number 148
_symmetry_space_group_name_Hall '-R 3'
loop_
_atom_site_label
_atom_site_fract_x
_atom_site_fract_y
_atom_site_fract_z
_atom_site_occupancy
Tm1 0.0410 0.2117 0.2343 1
Pd1 0.0000 0.0000 0.0000 1
Pd2 0.0000 0.0000 0.5000 1
Pd3 0.0507 0.2664 0.7206 1

***

Record 4
# meta-GGA SCAN TmZnPd, single point on PBEsol structure
# - Mass density: 10315 kg/m³
# - Formation energy: -838 meV/atom
data_TmZnPd
_chemical_formula_sum 'Tm3 Zn3 Pd3'
_cell_length_a 7.1002
_cell_length_b 7.1002
_cell_length_c 3.7694
_cell_angle_alpha 90.00
_cell_angle_beta 90.00
_cell_angle_gamma 120.00
_symmetry_space_group_name_H-M 'P -6 2 m'
_symmetry_Int_Tables_number 189
_symmetry_space_group_name_Hall 'P -6 -2'
loop_
_atom_site_label
_atom_site_fract_x
_atom_site_fract_y
_atom_site_fract_z
_atom_site_occupancy
Tm1 0.0000 0.4037 0.0000 1
Zn1 0.0000 0.7468 0.5000 1
Pd1 0.0000 0.0000 0.0000 1
Pd2 0.3333 0.6667 0.5000 1

***

Record 5
# meta-GGA SCAN V3Pd, single point on PBEsol structure
# - Mass density: 8047 kg/m³
# - Formation energy: -206 meV/atom
data_V3Pd
_chemical_formula_sum 'V6 Pd2'
_cell_length_a 4.747
_cell_length_b 4.747
_cell_length_c 4.747
_cell_angle_alpha 90.00
_cell_angle_beta 90.00
_cell_angle_gamma 90.00
_symmetry_space_group_name_H-M 'P m -3 n'
_symmetry_Int_Tables_number 223
_symmetry_space_group_name_Hall '-P 4n 2 3'
loop_
_atom_site_label
_atom_site_fract_x
_atom_site_fract_y
_atom_site_fract_z
_atom_site_occupancy
V1 0.000 0.250 0.500 1
Pd1 0.000 0.000 0.000 1

***

Record 6
# meta-GGA SCAN Pd4W, single point on PBEsol structure
# - Mass density: 13784 kg/m³
# - Formation energy: -2 meV/atom
data_Pd4W
_chemical_formula_sum 'Pd12 W3'
_cell_length_a 2.7515
_cell_length_b 2.7515
_cell_length_c 33.5966
_cell_angle_alpha 90.00
_cell_angle_beta 90.00
_cell_angle_gamma 120.00
_symmetry_space_group_name_H-M 'R -3 m'
_symmetry_Int_Tables_number 166
_symmetry_space_group_name_Hall '-R 3 2"'
loop_
_atom_site_label
_atom_site_fract_x
_atom_site_fract_y
_atom_site_fract_z
_atom_site_occupancy
Pd1 0.0000 0.0000 0.1012 1
Pd2 0.0000 0.0000 0.2997 1
W1 0.0000 0.0000 0.5000 1

***

Record 7
# meta-GGA SCAN Pd3W, single point on PBEsol structure
# - Mass density: 14411 kg/m³
# - Formation energy: 1 meV/atom
data_Pd3W
_chemical_formula_sum 'Pd6 W2'
_cell_length_a 3.829
_cell_length_b 3.829
_cell_length_c 7.909
_cell_angle_alpha 90.00
_cell_angle_beta 90.00
_cell_angle_gamma 90.00
_symmetry_space_group_name_H-M 'I 4/m m m'
_symmetry_Int_Tables_number 139
_symmetry_space_group_name_Hall '-I 4 2'
loop_
_atom_site_label
_atom_site_fract_x
_atom_site_fract_y
_atom_site_fract_z
_atom_site_occupancy
Pd1 0.000 0.000 0.000 1
Pd2 0.000 0.500 0.250 1
W1 0.000 0.000 0.500 1

***

Record 8
# meta-GGA SCAN ZnPdW3, single point on PBEsol structure
# - Mass density: 11816 kg/m³
# - Formation energy: 2531 meV/atom
data_ZnPdW3
_chemical_formula_sum 'Zn1 Pd1 W3'
_cell_length_a 4.667
_cell_length_b 4.667
_cell_length_c 4.667
_cell_angle_alpha 90.00
_cell_angle_beta 90.00
_cell_angle_gamma 90.00
_symmetry_space_group_name_H-M 'P m -3 m'
_symmetry_Int_Tables_number 221
_symmetry_space_group_name_Hall '-P 4 2 3'
loop_
_atom_site_label
_atom_site_fract_x
_atom_site_fract_y
_atom_site_fract_z
_atom_site_occupancy
Zn1 0.000 0.000 0.000 1
Pd1 0.500 0.500 0.500 1
W1 0.000 0.500 0.500 1

***

Record 9
# meta-GGA SCAN ZrPd2W, single point on PBEsol structure
# - Mass density: 12249 kg/m³
# - Formation energy: 76 meV/atom
data_ZrPd2W
_chemical_formula_sum 'Zr4 Pd8 W4'
_cell_length_a 6.420
_cell_length_b 6.420
_cell_length_c 6.420
_cell_angle_alpha 90.00
_cell_angle_beta 90.00
_cell_angle_gamma 90.00
_symmetry_space_group_name_H-M 'F m -3 m'
_symmetry_Int_Tables_number 225
_symmetry_space_group_name_Hall '-F 4 2 3'
loop_
_atom_site_label
_atom_site_fract_x
_atom_site_fract_y
_atom_site_fract_z
_atom_site_occupancy
Zr1 0.000 0.000 0.000 1
Pd1 0.250 0.250 0.250 1
W1 0.000 0.000 0.500 1

***

Record 10
# meta-GGA SCAN Y3Pd2, single point on PBEsol structure
# - Mass density: 6773 kg/m³
# - Formation energy: -839 meV/atom
data_Y3Pd2
_chemical_formula_sum 'Y27 Pd18'
_cell_length_a 8.6593
_cell_length_b 8.6593
_cell_length_c 16.2943
_cell_angle_alpha 90.00
_cell_angle_beta 90.00
_cell_angle_gamma 120.00
_symmetry_space_group_name_H-M 'R -3'
_symmetry_Int_Tables_number 148
_symmetry_space_group_name_Hall '-R 3'
loop_
_atom_site_label
_atom_site_fract_x
_atom_site_fract_y
_atom_site_fract_z
_atom_site_occupancy
Y1 0.0000 0.0000 0.0000 1
Y2 0.0000 0.0000 0.2043 1
Y3 0.0129 0.2498 0.5924 1
Pd1 0.0213 0.6108 0.5686 1

***

Record 11
# meta-GGA SCAN YPd3, single point on PBEsol structure
# - Mass density: 10191 kg/m³
# - Formation energy: -913 meV/atom
data_YPd3
_chemical_formula_sum 'Y1 Pd3'
_cell_length_a 4.052
_cell_length_b 4.052
_cell_length_c 4.052
_cell_angle_alpha 90.00
_cell_angle_beta 90.00
_cell_angle_gamma 90.00
_symmetry_space_group_name_H-M 'P m -3 m'
_symmetry_Int_Tables_number 221
_symmetry_space_group_name_Hall '-P 4 2 3'
loop_
_atom_site_label
_atom_site_fract_x
_atom_site_fract_y
_atom_site_fract_z
_atom_site_occupancy
Y1 0.000 0.000 0.000 1
Pd1 0.000 0.500 0.500 1

***

Record 12
# meta-GGA SCAN YPd, single point on PBEsol structure
# - Mass density: 7548 kg/m³
# - Formation energy: -1020 meV/atom
data_YPd
_chemical_formula_sum 'Y4 Pd4'
_cell_length_a 3.668
_cell_length_b 10.368
_cell_length_c 4.520
_cell_angle_alpha 90.00
_cell_angle_beta 90.00
_cell_angle_gamma 90.00
_symmetry_space_group_name_H-M 'C m c m'
_symmetry_Int_Tables_number 63
_symmetry_space_group_name_Hall '-C 2c 2'
loop_
_atom_site_label
_atom_site_fract_x
_atom_site_fract_y
_atom_site_fract_z
_atom_site_occupancy
Y1 0.000 0.138 0.250 1
Pd1 0.000 0.415 0.250 1

***

Q: Which of these has the highest mass density?
A: Pd3W

***

Q: The highest formation energy belongs to which entry?
A: ZnPdW3

***

What did the twelfth record say?
# meta-GGA SCAN YPd, single point on PBEsol structure
# - Mass density: 7548 kg/m³
# - Formation energy: -1020 meV/atom
data_YPd
_chemical_formula_sum 'Y4 Pd4'
_cell_length_a 3.668
_cell_length_b 10.368
_cell_length_c 4.520
_cell_angle_alpha 90.00
_cell_angle_beta 90.00
_cell_angle_gamma 90.00
_symmetry_space_group_name_H-M 'C m c m'
_symmetry_Int_Tables_number 63
_symmetry_space_group_name_Hall '-C 2c 2'
loop_
_atom_site_label
_atom_site_fract_x
_atom_site_fract_y
_atom_site_fract_z
_atom_site_occupancy
Y1 0.000 0.138 0.250 1
Pd1 0.000 0.415 0.250 1